# CeHoPu PBE relaxed
data_CeHoPu
_space_group_name_H-M_alt 'I 4 m m'
_space_group_IT_number 107
_space_group_name_Hall 'I 4 -2'
_cell_length_a 3.441
_cell_length_b 3.441
_cell_length_c 14.200
_cell_angle_alpha 90.00
_cell_angle_beta 90.00
_cell_angle_gamma 90.00
loop_
_atom_site_label
_atom_site_type_symbol
_atom_site_fract_x
_atom_site_fract_y
_atom_site_fract_z
Ce1 Ce 0.000 0.000 0.000
Ho1 Ho 0.000 0.000 0.321
Pu1 Pu 0.000 0.000 0.647
# Energy above the most stable polymorph in this dataset (kcal/mol of atoms): 0.21
# Formation energy (eV per atom): 0.114


# CeHoPu2 PBE relaxed
data_CeHoPu2
_space_group_name_H-M_alt 'P 4/m m m'
_space_group_IT_number 123
_space_group_name_Hall '-P 4 2'
_cell_length_a 3.349
_cell_length_b 3.349
_cell_length_c 9.451
_cell_angle_alpha 90.00
_cell_angle_beta 90.00
_cell_angle_gamma 90.00
loop_
_atom_site_label
_atom_site_type_symbol
_atom_site_fract_x
_atom_site_fract_y
_atom_site_fract_z
Ce1 Ce 0.000 0.000 0.000
Ho1 Ho 0.000 0.000 0.500
Pu1 Pu 0.500 0.500 0.230
# Energy above the most stable polymorph in this dataset (kcal/mol of atoms): 0.00
# Formation energy (eV per atom): 0.146


# CeHoPu2 PBE relaxed
data_CeHoPu2
_space_group_name_H-M_alt 'F m -3 m'
_space_group_IT_number 225
_space_group_name_Hall '-F 4 2 3'
_cell_length_a 7.669
_cell_length_b 7.669
_cell_length_c 7.669
_cell_angle_alpha 90.00
_cell_angle_beta 90.00
_cell_angle_gamma 90.00
loop_
_atom_site_label
_atom_site_type_symbol
_atom_site_fract_x
_atom_site_fract_y
_atom_site_fract_z
Ce1 Ce 0.000 0.000 0.000
Ho1 Ho 0.000 0.000 0.500
Pu1 Pu 0.250 0.250 0.250
# Energy above the most stable polymorph in this dataset (kcal/mol of atoms): 1.64
# Formation energy (eV per atom): 0.217


# CeHoPu2 PBE relaxed
data_CeHoPu2
_space_group_name_H-M_alt 'P 4/m m m'
_space_group_IT_number 123
_space_group_name_Hall '-P 4 2'
_cell_length_a 4.853
_cell_length_b 4.853
_cell_length_c 4.722
_cell_angle_alpha 90.00
_cell_angle_beta 90.00
_cell_angle_gamma 90.00
loop_
_atom_site_label
_atom_site_type_symbol
_atom_site_fract_x
_atom_site_fract_y
_atom_site_fract_z
Ce1 Ce 0.000 0.000 0.000
Ho1 Ho 0.500 0.500 0.000
Pu1 Pu 0.000 0.500 0.500
# Energy above the most stable polymorph in this dataset (kcal/mol of atoms): 0.63
# Formation energy (eV per atom): 0.173


# CeHoPu2 PBE relaxed
data_CeHoPu2
_space_group_name_H-M_alt 'R 3 m'
_space_group_IT_number 160
_space_group_name_Hall 'R 3 -2"'
_cell_length_a 3.5992
_cell_length_b 3.5992
_cell_length_c 27.9308
_cell_angle_alpha 90.00
_cell_angle_beta 90.00
_cell_angle_gamma 120.00
loop_
_atom_site_label
_atom_site_type_symbol
_atom_site_fract_x
_atom_site_fract_y
_atom_site_fract_z
Ce1 Ce 0.0000 0.0000 0.0000
Ho1 Ho 0.0000 0.0000 0.2261
Pu1 Pu 0.0000 0.0000 0.0918
Pu2 Pu 0.0000 0.0000 0.7979
# Energy above the most stable polymorph in this dataset (kcal/mol of atoms): 0.48
# Formation energy (eV per atom): 0.167


# CeHoPu PBE relaxed
data_CeHoPu
_space_group_name_H-M_alt 'P m m n'
_space_group_IT_number 59
_cell_length_a 3.429
_cell_length_b 5.429
_cell_length_c 8.963
_cell_angle_alpha 90.00
_cell_angle_beta 90.00
_cell_angle_gamma 90.00
loop_
_space_group_symop_operation_xyz
'x,y,z'
'-x,-y,-z'
'-x+1/2,-y+1/2,z'
'x+1/2,y+1/2,-z'
'x+1/2,-y,-z'
'-x+1/2,y,z'
'-x,y+1/2,-z'
'x,-y+1/2,z'
loop_
_atom_site_label
_atom_site_type_symbol
_atom_site_fract_x
_atom_site_fract_y
_atom_site_fract_z
Ce1 Ce 0.250 0.250 0.025
Ho1 Ho 0.250 0.750 0.606
Pu1 Pu 0.250 0.750 0.232
# Energy above the most stable polymorph in this dataset (kcal/mol of atoms): 0.00
# Formation energy (eV per atom): 0.105